Entry 1:
## CsNaAc2Br8 (PBE)

Data for crystalline CsNaAc2Br8 at its relaxed geometry.

Values from the calculation:
Formation energy without anion corrections in eV per atom: -1.876
Size of the total moment in μB per formula unit: 0.000

Lattice parameters (Å, degrees): 7.555 7.541 9.622 90.06 90.07 84.70
Sites, in units of the cell vectors:
Cs 0.000 0.000 0.500
Na 0.000 0.000 0.000
Ac 0.500 0.500 0.758
Ac 0.500 0.500 0.242
Br 0.180 0.760 0.214
Br 0.658 0.705 0.000
Br 0.821 0.240 0.214
Br 0.820 0.240 0.786
Br 0.342 0.295 0.000
Br 0.179 0.760 0.786
Br 0.635 0.701 0.500
Br 0.365 0.299 0.500

Entry 2:
## UTlAs2 (PBE)

Data for crystalline UTlAs2 at its relaxed geometry.

Values from the calculation:
Polymorph energy (0 for the lowest one) in kJ/mol of atoms: 0.0
Energy relative to the elements in eV/atom: -0.334
Size of the total moment in μB per formula unit: 2.185

Lattice parameters (Å, degrees): 3.797 3.797 6.661 90.00 90.00 90.00
Sites, in units of the cell vectors:
Tl 0.500 0.500 0.500
U 0.500 0.500 0.000
As 0.000 0.000 0.806
As 0.000 0.000 0.194

Entry 3:
## Lu2PdRu (PBE)

Data for crystalline Lu2PdRu at its relaxed geometry.

Values from the calculation:
Energy relative to the elements in eV/atom: -0.764
Size of the total moment in μB per formula unit: 0.000

Lattice parameters (Å, degrees): 4.772 4.772 4.772 60.00 60.00 60.00
Sites, in units of the cell vectors:
Ru 0.500 0.500 0.500
Lu 0.250 0.250 0.250
Lu 0.750 0.750 0.750
Pd 0.000 0.000 0.000

Entry 4:
## KBeCl2 (PBE)

Data for crystalline KBeCl2 at its relaxed geometry.

Values from the calculation:
Polymorph energy (0 for the lowest one) in kJ/mol of atoms: 52.1
Formation energy without anion corrections in eV per atom: -0.444
Size of the total moment in μB per formula unit: 0.000

Lattice parameters (Å, degrees): 7.821 7.821 7.821 150.48 150.48 42.24
Sites, in units of the cell vectors:
Be 0.750 0.250 0.500
K 0.500 0.500 0.000
Cl 0.000 0.000 0.000
Cl 0.250 0.750 0.500

Entry 5:
## Ca2ZnAg (PBE)

Data for crystalline Ca2ZnAg at its relaxed geometry.

Values from the calculation:
Energy relative to the elements in eV/atom: 0.477
Size of the total moment in μB per formula unit: 0.000

Lattice parameters (Å, degrees): 6.926 6.926 6.926 150.50 60.66 128.29
Sites, in units of the cell vectors:
Ca 0.747 0.000 0.747
Ca 0.253 0.000 0.253
Zn 0.000 0.000 0.000
Ag 0.500 0.000 0.500

Entry 6:
## TlPCS2 (PBE)

Data for crystalline TlPCS2 at its relaxed geometry.

Values from the calculation:
Polymorph energy (0 for the lowest one) in kJ/mol of atoms: 0.0
Formation energy without anion corrections in eV per atom: 1.101
Size of the total moment in μB per formula unit: 0.000

Lattice parameters (Å, degrees): 4.746 4.746 3.809 90.00 90.00 90.00
Sites, in units of the cell vectors:
C 0.000 0.000 0.000
P 0.000 0.000 0.500
Tl 0.500 0.500 0.500
S 0.000 0.500 0.000
S 0.500 0.000 0.000

Entry 7:
## CrNiMoIr (PBE)

Data for crystalline CrNiMoIr at its relaxed geometry.

Values from the calculation:
Energy relative to the elements in eV/atom: -0.123
Size of the total moment in μB per formula unit: 0.742

Lattice parameters (Å, degrees): 3.681 3.733 3.860 90.00 90.00 90.00
Sites, in units of the cell vectors:
Cr 0.000 0.500 0.500
Ni 0.000 0.000 0.000
Mo 0.500 0.000 0.500
Ir 0.500 0.500 0.000

Theoretical density, record by record: 3.800; 10.242; 12.044; 1.706; 3.304; 6.029; 12.486 g cm⁻³